VASP calculation (PBE) on KPtCl after structural relaxation.

a = 6.0071 Å, b = 7.1910 Å, c = 3.7500 Å
α = 90.17°, β = 88.75°, γ = 104.96°
Positions (direct):
Pt (0.5780, 0.6208, 0.7479)
Pt (0.4220, 0.3792, 0.2521)
K (0.8152, 0.2325, 0.7394)
K (0.1848, 0.7675, 0.2606)
Cl (0.2820, 0.1434, 0.7558)
Cl (0.7180, 0.8566, 0.2442)

Values from the calculation:
**DOS(E_F)**: 0.0000 states/eV/atom
**Calculated volume**: 156.46 Å³/cell
**Energy relative to the elements, uncorrected**: -0.768 eV per atom
**Symmetry**: P-1